# 1
Compound: TmPaMnC3
Source: Alexandria
Functional: PBE
Structure: relaxed

Results
M_tot   0.00 μB per formula unit
Energy of formation   -1.05 eV per formula unit
Density of states at the Fermi level   0.546 states/eV per atom
Electronic total energy   -103.7 eV per cell
SG   P2_1/m (11)

a = 3.490 Å, b = 7.186 Å, c = 7.206 Å
α = 92.19°, β = 90.00°, γ = 90.00°
Atoms (fractional coordinates):
C 0.250 0.601 0.864
Mn 0.250 0.091 0.585
C 0.250 0.843 0.491
Tm 0.250 0.147 0.172
C 0.250 0.125 0.838
C 0.750 0.875 0.162
Pa 0.750 0.374 0.814
Pa 0.250 0.626 0.186
C 0.750 0.157 0.509
Tm 0.750 0.853 0.828
C 0.750 0.399 0.136
Mn 0.750 0.909 0.415

***

# 2
Compound: UPaMnC3
Source: Alexandria
Functional: PBE
Structure: relaxed

Results
M_tot   0.00 μB per formula unit
Energy of formation   -0.53 eV per formula unit
Density of states at the Fermi level   0.867 states/eV per atom
Electronic total energy   -116.3 eV per cell
SG   P2_1/m (11)

a = 3.340 Å, b = 7.314 Å, c = 7.214 Å
α = 100.02°, β = 90.00°, γ = 90.00°
Atoms (fractional coordinates):
Pa 0.750 0.832 0.806
C 0.250 0.827 0.537
Mn 0.250 0.095 0.584
Pa 0.250 0.168 0.194
C 0.250 0.582 0.868
C 0.250 0.117 0.856
U 0.250 0.652 0.189
C 0.750 0.418 0.132
U 0.750 0.348 0.811
C 0.750 0.173 0.463
C 0.750 0.883 0.144
Mn 0.750 0.905 0.416

***

# 3
Compound: U2PaMnC4
Source: Alexandria
Functional: PBE
Structure: relaxed

Results
M_tot   0.00 μB per formula unit
Energy of formation   -1.27 eV per formula unit
Density of states at the Fermi level   1.126 states/eV per atom
Electronic total energy   -158.8 eV per cell
SG   Cmcm (63)

a = 3.400 Å, b = 6.009 Å, c = 11.362 Å
α = 90.00°, β = 90.00°, γ = 106.43°
Atoms (fractional coordinates):
C 0.447 0.894 0.750
C 0.000 0.000 0.500
C 0.271 0.542 0.373
Mn 0.845 0.690 0.750
C 0.729 0.458 0.873
U 0.367 0.733 0.946
C 0.271 0.542 0.127
C 0.729 0.458 0.627
C 0.553 0.106 0.250
U 0.633 0.267 0.446
Pa 0.103 0.206 0.750
Mn 0.155 0.310 0.250
U 0.633 0.267 0.054
Pa 0.897 0.794 0.250
U 0.367 0.733 0.554
C 0.000 0.000 0.000